(1)
Entry from the Alexandria database: a relaxed structure of Sc3Cu (PBEsol).

It has space group Fm-3m (No. 225), with a = 6.7852 Å, b = 6.7852 Å, c = 6.7852 Å, α = 90.00°, β = 90.00° and γ = 90.00°. The inequivalent atoms are Sc at (0.0000, 0.0000, 0.0000), Sc at (0.2500, 0.2500, 0.2500) and Cu at (0.0000, 0.0000, 0.5000).

The crystal system is cubic. Its total DFT energy (no corrections) is -5.917 eV/atom. Its excess energy over the best structure of this formula in the dataset is 252 meV/atom. For the formation energy, the calculation gives 0.120 eV/atom.

=====

(2)
Entry from the Alexandria database: a relaxed structure of Ca5Pt (PBEsol).

It has space group P6/mmm (No. 191), with a = 6.1379 Å, b = 6.1379 Å, c = 6.2982 Å, α = 90.00°, β = 90.00° and γ = 120.00°. The inequivalent atoms are Ca at (0.0000, 0.5000, 0.0000), Ca at (0.3333, 0.6667, 0.5000) and Pt at (0.0000, 0.0000, 0.5000).

The crystal system is hexagonal. Its total DFT energy (no corrections) is -2.338 eV/atom. For the formation energy, the calculation gives 0.600 eV/atom.

=====

(3)
Entry from the Alexandria database: a relaxed structure of Na2BrCl (PBEsol).

It has space group R-3m (No. 166, hexagonal axes), with a = 4.0725 Å, b = 4.0725 Å, c = 19.9963 Å, α = 90.00°, β = 90.00° and γ = 120.00°. The inequivalent atoms are Na at (0.0000, 0.0000, 0.2457), Br at (0.0000, 0.0000, 0.0000) and Cl at (0.0000, 0.0000, 0.5000).

For the energy relative to the elements, uncorrected, the calculation gives -1.669 eV/atom. The crystal system is trigonal. Its total DFT energy (no corrections) is -3.338 eV/atom. Its excess energy over the best structure of this formula in the dataset is 0 meV/atom.

=====

Number 1: total magnetization 0.010 μB per formula unit, volume 312.38 Å³/cell. Number 2: total magnetization 0.001 μB per formula unit, volume 205.49 Å³/cell. Number 3: total magnetization 0.000 μB per formula unit, volume 287.22 Å³/cell.